DFT (PBE-GGA) results for a relaxed Tm2TeAu crystal.

Geometry as POSCAR:
```
Tm2TeAu
1.0
1.996 -11.708 0.000
1.996 11.708 0.000
0.000 0.000 4.435
Tm Te Au
4 2 2
Cartesian
1.996 10.289 3.326 Tm
1.996 3.898 3.326 Tm
1.996 -3.898 1.109 Tm
1.996 -10.289 1.109 Tm
1.996 7.129 3.326 Te
1.996 -7.129 1.109 Te
1.996 1.022 3.326 Au
1.996 -1.022 1.109 Au
```

Space group: Cmcm, No. 63
Energy above the lowest structure with this stoichiometry (eV/atom): 0.0000
DOS at the Fermi energy (states/eV per cell): 3.44
ΔE_f (raw) (eV per atom): -1.064
Spin magnetization (μB per atom): 0.00

---

DFT (PBE-GGA) results for a relaxed Tm3Te12Au5 crystal.

Geometry as POSCAR:
```
Tm3Te12Au5
1.0
-8.556 8.556 8.556
8.556 -8.556 8.556
8.556 8.556 -8.556
Tm Te Au
12 48 20
Cartesian
4.278 2.139 0.000 Tm
8.556 4.278 -2.139 Tm
2.139 0.000 4.278 Tm
10.695 0.000 4.278 Tm
0.000 4.278 2.139 Tm
4.278 -2.139 8.556 Tm
4.278 10.695 0.000 Tm
8.556 4.278 6.417 Tm
-2.139 8.556 4.278 Tm
6.417 8.556 4.278 Tm
0.000 4.278 10.695 Tm
4.278 6.417 8.556 Tm
2.602 -0.307 1.088 Te
10.232 5.366 -4.585 Te
11.158 0.307 1.088 Te
10.232 -3.190 4.585 Te
8.249 -1.088 2.602 Te
13.140 -1.676 3.190 Te
1.088 2.602 -0.307 Te
11.746 3.971 -1.676 Te
5.366 4.585 -1.676 Te
7.468 2.602 0.307 Te
-0.307 1.088 2.602 Te
4.585 -1.676 5.366 Te
8.249 7.468 -2.602 Te
4.585 1.676 3.190 Te
5.366 -4.585 10.232 Te
7.468 -2.602 8.249 Te
3.190 4.585 1.676 Te
9.644 5.954 0.307 Te
4.585 10.232 -3.190 Te
8.249 1.088 5.954 Te
2.602 8.249 -1.088 Te
10.232 3.190 3.971 Te
1.676 3.190 4.585 Te
2.602 0.307 7.468 Te
5.954 8.249 1.088 Te
6.880 5.366 3.971 Te
-1.676 5.366 4.585 Te
5.954 0.307 9.644 Te
0.307 7.468 2.602 Te
3.971 -1.676 11.746 Te
-1.088 2.602 8.249 Te
5.366 3.971 6.880 Te
1.088 11.158 0.307 Te
3.190 13.140 -1.676 Te
3.971 6.880 5.366 Te
0.307 1.088 11.158 Te
3.971 10.232 3.190 Te
8.862 7.468 5.954 Te
1.088 5.954 8.249 Te
3.190 3.971 10.232 Te
-3.190 4.585 10.232 Te
7.468 5.954 8.862 Te
-4.585 10.232 5.366 Te
0.307 9.644 5.954 Te
-1.676 11.746 3.971 Te
-2.602 8.249 7.468 Te
-1.676 3.190 13.140 Te
5.954 8.862 7.468 Te
0.000 0.000 0.000 Au
4.278 4.278 -4.278 Au
4.278 -4.278 4.278 Au
8.556 0.000 0.000 Au
12.834 2.139 0.000 Au
8.556 -4.278 6.417 Au
6.417 8.556 -4.278 Au
6.417 0.000 4.278 Au
4.278 6.417 0.000 Au
8.556 4.278 2.139 Au
-4.278 4.278 4.278 Au
0.000 8.556 0.000 Au
0.000 0.000 8.556 Au
4.278 4.278 4.278 Au
0.000 4.278 6.417 Au
4.278 2.139 8.556 Au
2.139 8.556 4.278 Au
2.139 0.000 12.834 Au
0.000 12.834 2.139 Au
-4.278 6.417 8.556 Au
```

Space group: Ia-3d, No. 230
DOS at the Fermi energy (states/eV per cell): 57.97
ΔE_f (raw) (eV per atom): -0.409
Spin magnetization (μB per atom): 0.00

---

DFT (PBE-GGA) results for a relaxed Tm2Te4Au crystal.

Geometry as POSCAR:
```
Tm2Te4Au
1.0
7.460 -2.217 0.000
7.460 2.217 0.000
-3.042 0.000 6.663
Tm Te Au
2 4 1
Cartesian
2.994 0.000 1.576 Tm
8.885 0.000 5.088 Tm
-0.685 0.000 5.268 Te
3.420 0.000 4.604 Te
8.458 0.000 2.059 Te
12.564 0.000 1.396 Te
0.000 0.000 0.000 Au
```

Space group: C2/m, No. 12
DOS at the Fermi energy (states/eV per cell): 2.95
ΔE_f (raw) (eV per atom): -0.912
Spin magnetization (μB per atom): 0.00

---

DFT (PBE-GGA) results for a relaxed TmTe2Au crystal.

Geometry as POSCAR:
```
TmTe2Au
1.0
2.252 1.300 8.411
-2.252 1.300 8.411
0.000 -2.600 8.411
Tm Te Au
1 2 1
Cartesian
0.000 0.000 0.000 Tm
0.000 0.000 10.025 Te
0.000 0.000 15.208 Te
0.000 0.000 12.616 Au
```

Space group: R-3m, No. 166
ΔE_f (raw) (eV per atom): -0.794
Spin magnetization (μB per atom): 0.00